The following is a DFT calculation (PBE) of a geometry-optimized HoMgGa4 structure.

## Properties
Polymorph energy (0 for the lowest one) ... 0.0 kJ per mole of atoms
Electronic total energy ... -20.59 eV/cell
Space-group type ... Immm, No. 71

Structure (CIF):
```
data_HoMgGa4
_symmetry_space_group_name_H-M 'P 1'
_symmetry_Int_Tables_number 1
_cell_length_a 5.6477
_cell_length_b 5.6477
_cell_length_c 5.6477
_cell_angle_alpha 134.64
_cell_angle_beta 108.43
_cell_angle_gamma 88.93
loop_
_symmetry_equiv_pos_as_xyz
'x,y,z'
loop_
_atom_site_label
_atom_site_type_symbol
_atom_site_fract_x
_atom_site_fract_y
_atom_site_fract_z
Ho1 Ho 0.0000 0.0000 0.0000
Mg1 Mg 0.5000 0.0000 0.5000
Ga1 Ga 0.1196 0.3356 0.7840
Ga2 Ga 0.4483 0.6644 0.7840
Ga3 Ga 0.5517 0.3356 0.2160
Ga4 Ga 0.8804 0.6644 0.2160
```

The following is a DFT calculation (PBE) of a geometry-optimized HoMgGa structure.

## Properties
Electronic total energy ... -10.31 eV/cell
Space-group type ... P3m1, No. 156

Structure (CIF):
```
data_HoMgGa
_symmetry_space_group_name_H-M 'P 1'
_symmetry_Int_Tables_number 1
_cell_length_a 4.6805
_cell_length_b 4.6805
_cell_length_c 3.5693
_cell_angle_alpha 90.00
_cell_angle_beta 90.00
_cell_angle_gamma 120.00
loop_
_symmetry_equiv_pos_as_xyz
'x,y,z'
loop_
_atom_site_label
_atom_site_type_symbol
_atom_site_fract_x
_atom_site_fract_y
_atom_site_fract_z
Ho1 Ho 0.0000 0.0000 0.0000
Mg1 Mg 0.3333 0.6667 0.5003
Ga1 Ga 0.6667 0.3333 0.4988
```

The following is a DFT calculation (PBE) of a geometry-optimized HoMg3Ga2 structure.

## Properties
Electronic total energy ... -34.35 eV/cell
Space-group type ... Immm, No. 71

Structure (CIF):
```
data_HoMg3Ga2
_symmetry_space_group_name_H-M 'P 1'
_symmetry_Int_Tables_number 1
_cell_length_a 8.4669
_cell_length_b 8.4669
_cell_length_c 8.4669
_cell_angle_alpha 149.66
_cell_angle_beta 119.61
_cell_angle_gamma 69.07
loop_
_symmetry_equiv_pos_as_xyz
'x,y,z'
loop_
_atom_site_label
_atom_site_type_symbol
_atom_site_fract_x
_atom_site_fract_y
_atom_site_fract_z
Ho1 Ho 0.1271 0.1271 0.0000
Ho2 Ho 0.8729 0.8729 0.0000
Mg1 Mg 0.1330 0.3303 0.8027
Mg2 Mg 0.3325 0.0000 0.3325
Mg3 Mg 0.4724 0.6697 0.8027
Mg4 Mg 0.5276 0.3303 0.1973
Mg5 Mg 0.6675 0.0000 0.6675
Mg6 Mg 0.8670 0.6697 0.1973
Ga1 Ga 0.1466 0.5000 0.6466
Ga2 Ga 0.2903 0.7903 0.5000
Ga3 Ga 0.7097 0.2097 0.5000
Ga4 Ga 0.8534 0.5000 0.3534
```

The following is a DFT calculation (PBE) of a geometry-optimized Ho4MgGa12 structure.

## Properties
Electronic total energy ... -64.51 eV/cell
Space-group type ... Im-3m, No. 229

Structure (CIF):
```
data_Ho4MgGa12
_symmetry_space_group_name_H-M 'P 1'
_symmetry_Int_Tables_number 1
_cell_length_a 7.5542
_cell_length_b 7.5542
_cell_length_c 7.5542
_cell_angle_alpha 109.47
_cell_angle_beta 109.47
_cell_angle_gamma 109.47
loop_
_symmetry_equiv_pos_as_xyz
'x,y,z'
loop_
_atom_site_label
_atom_site_type_symbol
_atom_site_fract_x
_atom_site_fract_y
_atom_site_fract_z
Ho1 Ho 0.0000 0.0000 0.5000
Ho2 Ho 0.0000 0.5000 0.0000
Ho3 Ho 0.5000 0.0000 0.0000
Ho4 Ho 0.5000 0.5000 0.5000
Mg1 Mg 0.0000 0.0000 0.0000
Ga1 Ga 0.0000 0.3099 0.3099
Ga2 Ga 0.0000 0.6901 0.6901
Ga3 Ga 0.2500 0.5000 0.7500
Ga4 Ga 0.2500 0.7500 0.5000
Ga5 Ga 0.3099 0.0000 0.3099
Ga6 Ga 0.3099 0.3099 0.0000
Ga7 Ga 0.5000 0.2500 0.7500
Ga8 Ga 0.5000 0.7500 0.2500
Ga9 Ga 0.6901 0.0000 0.6901
Ga10 Ga 0.6901 0.6901 0.0000
Ga11 Ga 0.7500 0.2500 0.5000
Ga12 Ga 0.7500 0.5000 0.2500
```

The following is a DFT calculation (PBE) of a geometry-optimized Ho2MgGa structure.

## Properties
Electronic total energy ... -15.14 eV/cell
Space-group type ... P4/mmm, No. 123

Structure (CIF):
```
data_Ho2MgGa
_symmetry_space_group_name_H-M 'P 1'
_symmetry_Int_Tables_number 1
_cell_length_a 3.6400
_cell_length_b 3.6400
_cell_length_c 7.4173
_cell_angle_alpha 90.00
_cell_angle_beta 90.00
_cell_angle_gamma 90.00
loop_
_symmetry_equiv_pos_as_xyz
'x,y,z'
loop_
_atom_site_label
_atom_site_type_symbol
_atom_site_fract_x
_atom_site_fract_y
_atom_site_fract_z
Ho1 Ho 0.0000 0.0000 0.2317
Ho2 Ho 0.0000 0.0000 0.7683
Mg1 Mg 0.5000 0.5000 0.5000
Ga1 Ga 0.5000 0.5000 0.0000
```

The following is a DFT calculation (PBE) of a geometry-optimized HoMgGa structure.

## Properties
Electronic total energy ... -20.83 eV/cell
Space-group type ... C2/m, No. 12

Structure (CIF):
```
data_HoMgGa
_symmetry_space_group_name_H-M 'P 1'
_symmetry_Int_Tables_number 1
_cell_length_a 5.8088
_cell_length_b 5.8088
_cell_length_c 7.2620
_cell_angle_alpha 123.43
_cell_angle_beta 123.43
_cell_angle_gamma 44.66
loop_
_symmetry_equiv_pos_as_xyz
'x,y,z'
loop_
_atom_site_label
_atom_site_type_symbol
_atom_site_fract_x
_atom_site_fract_y
_atom_site_fract_z
Ho1 Ho 0.0649 0.0649 0.3225
Ho2 Ho 0.9351 0.9351 0.6775
Mg1 Mg 0.3227 0.3227 0.9116
Mg2 Mg 0.6773 0.6773 0.0884
Ga1 Ga 0.3515 0.3515 0.3387
Ga2 Ga 0.6485 0.6485 0.6613
```

The following is a DFT calculation (PBE) of a geometry-optimized Ho4Mg5Ga2 structure.

## Properties
Electronic total energy ... -34.57 eV/cell
Space-group type ... P2/m, No. 10

Structure (CIF):
```
data_Ho4Mg5Ga2
_symmetry_space_group_name_H-M 'P 1'
_symmetry_Int_Tables_number 1
_cell_length_a 7.9198
_cell_length_b 3.5373
_cell_length_c 9.8929
_cell_angle_alpha 90.00
_cell_angle_beta 93.91
_cell_angle_gamma 90.00
loop_
_symmetry_equiv_pos_as_xyz
'x,y,z'
loop_
_atom_site_label
_atom_site_type_symbol
_atom_site_fract_x
_atom_site_fract_y
_atom_site_fract_z
Ho1 Ho 0.1585 0.0000 0.3676
Ho2 Ho 0.2523 0.0000 0.9421
Ho3 Ho 0.7477 0.0000 0.0579
Ho4 Ho 0.8415 0.0000 0.6324
Mg1 Mg 0.1872 0.5000 0.6585
Mg2 Mg 0.4360 0.5000 0.1950
Mg3 Mg 0.5000 0.5000 0.5000
Mg4 Mg 0.5640 0.5000 0.8050
Mg5 Mg 0.8128 0.5000 0.3415
Ga1 Ga 0.0592 0.5000 0.1306
Ga2 Ga 0.9408 0.5000 0.8694
```

The following is a DFT calculation (PBE) of a geometry-optimized HoMg2Ga3 structure.

## Properties
Electronic total energy ... -18.77 eV/cell
Space-group type ... P-3m1, No. 164

Structure (CIF):
```
data_HoMg2Ga3
_symmetry_space_group_name_H-M 'P 1'
_symmetry_Int_Tables_number 1
_cell_length_a 4.7757
_cell_length_b 4.7757
_cell_length_c 6.1440
_cell_angle_alpha 90.00
_cell_angle_beta 90.00
_cell_angle_gamma 120.00
loop_
_symmetry_equiv_pos_as_xyz
'x,y,z'
loop_
_atom_site_label
_atom_site_type_symbol
_atom_site_fract_x
_atom_site_fract_y
_atom_site_fract_z
Ho1 Ho 0.0000 0.0000 0.0000
Mg1 Mg 0.3333 0.6667 0.6830
Mg2 Mg 0.6667 0.3333 0.3170
Ga1 Ga 0.0000 0.0000 0.5000
Ga2 Ga 0.3333 0.6667 0.1935
Ga3 Ga 0.6667 0.3333 0.8065
```

Question: Look up the electronic total energy of the fifth one.
Answer: -15.14 eV/cell

Question: Look up the electronic total energy of the fifth one.
Answer: -15.14 eV/cell

Question: electronic total energy of number 8 (HoMg2Ga3)?
Answer: -18.77 eV/cell